First-principles (PBE) data for crystalline LiPrI4 at its relaxed geometry, as listed in Alexandria via LeMat-Bulk.

The space group is P-1 (No. 2) and the conventional cell measures 7.7163, 7.7313 and 10.5583 Å, with angles of 104.02, 103.99 and 109.75 degrees. Symmetry generates all atoms from Li at (0.1654, 0.4175, 0.3326), Pr at (0.3280, 0.0778, 0.6557), I at (0.0539, 0.3006, 0.5951), I at (0.1684, 0.9143, 0.8570), I at (0.3113, 0.5575, 0.1429) and I at (0.4588, 0.2056, 0.4049).

The total DFT energy (no corrections) is -3.45 eV per atom. The value obtained for the uncorrected formation energy is -1.301 eV per atom. The total magnetization is 0.0 μB per cell.

First-principles (PBE) data for crystalline RbLi4Pr3I12 at its relaxed geometry, as listed in Alexandria via LeMat-Bulk.

The space group is R32 (No. 155, hexagonal axes) and the conventional cell measures 17.0329, 17.0329 and 10.8823 Å, with angles of 90.00, 90.00 and 120.00 degrees. Symmetry generates all atoms from Rb at (0.0000, 0.0000, 0.0000), Li at (0.0000, 0.0000, 0.5000), Li at (0.0000, 0.4099, 0.5000), Pr at (0.0000, 0.5813, 0.0000), I at (0.0000, 0.5731, 0.5000), I at (0.0000, 0.8446, 0.5000) and I at (0.0693, 0.2335, 0.1683).

The total DFT energy (no corrections) is -3.29 eV per atom. The value obtained for the uncorrected formation energy is -1.213 eV per atom. The total magnetization is 6.1 μB per cell.